# 1
meta-GGA SCAN Ca3Y, single point on PBEsol structure; formation energy = 80.4 meV per atom; symmetry = No. 123; D(E_F) = 1.239 states/eV/atom
1.0
3.739 0.000 0.000
0.000 3.739 0.000
0.000 0.000 10.710
Ca Y
3 1
direct
0.500 0.500 0.000
0.000 0.000 0.263
0.000 0.000 0.737
0.500 0.500 0.500

# 2
meta-GGA SCAN Be2AlHg, single point on PBEsol structure; formation energy = 274.5 meV per atom; symmetry = No. 8; D(E_F) = 0.257 states/eV/atom
1.0
-0.603 0.533 -2.998
0.265 -4.279 0.793
-4.338 0.484 0.959
Hg Be Al
1 2 1
direct
0.502 0.004 0.528
0.999 0.998 0.983
0.256 0.512 0.781
0.743 0.487 0.209

# 3
meta-GGA SCAN CSeSCl2, single point on PBEsol structure; uncorrected formation energy = 1348 meV/atom; symmetry = No. 123; D(E_F) = 0.523 states/eV/atom
1.0
-4.029 1.092 0.065
-0.202 -0.985 4.052
1.139 4.139 1.062
S C Se Cl
1 1 1 2
direct
0.000 0.000 0.500
0.000 0.000 0.000
0.500 0.500 0.500
0.000 0.500 0.000
0.500 0.000 0.000

# 4
meta-GGA SCAN LaHgN2, single point on PBEsol structure; uncorrected formation energy = 11 meV/atom; symmetry = No. 122; D(E_F) = 0.956 states/eV/atom
1.0
-4.294 -2.492 0.322
1.159 -2.530 -4.124
4.238 -1.665 5.213
La N Hg
2 4 2
direct
0.750 0.250 0.500
0.500 0.500 0.000
0.891 0.375 0.250
0.625 0.641 0.750
0.359 0.875 0.250
0.125 0.109 0.750
0.000 0.000 0.000
0.250 0.750 0.500

no.,total magnetization (μB per formula unit)
1,0.73
2,0.00
3,0.00
4,0.00